[1]
Entry from Alexandria via LeMat-Bulk: a geometry-optimized CuHgRh2 structure (PBE-GGA).

```
CuHgRh2
1.0
1.428 0.825 8.786
-1.428 0.825 8.786
0.000 -1.649 8.786
Cu Hg Rh
1 1 2
Cartesian
0.000 0.000 0.000 Cu
0.000 0.000 13.180 Hg
0.000 0.000 6.764 Rh
0.000 0.000 19.596 Rh
```

Summary:
- Calculated volume: 62 Å³ per cell
- Total energy: -4.5326 eV per atom
- Formation energy from the elements: 0.243 eV/atom

=====

[2]
Entry from Alexandria via LeMat-Bulk: a geometry-optimized Sm2Mg16In structure (PBE-GGA).

```
Sm2Mg16In
1.0
5.123 2.958 5.064
-5.123 2.958 5.064
0.000 -5.916 5.064
Sm Mg In
2 16 1
Cartesian
0.000 0.000 0.000 Sm
0.000 0.000 5.284 Sm
0.000 -2.883 2.869 Mg
-2.497 1.442 2.869 Mg
-2.591 -1.496 7.719 Mg
0.000 -3.047 7.488 Mg
-2.638 1.523 7.488 Mg
-1.559 -2.704 10.245 Mg
-3.121 0.002 10.245 Mg
2.497 1.442 2.869 Mg
1.559 -2.704 10.245 Mg
-1.562 2.702 10.245 Mg
2.591 -1.496 7.719 Mg
0.000 2.992 7.719 Mg
0.000 0.000 11.654 Mg
2.638 1.523 7.488 Mg
3.121 0.002 10.245 Mg
1.562 2.702 10.245 Mg
0.000 0.000 8.676 In
```

Summary:
- Calculated volume: 460 Å³ per cell
- Total energy: -2.0494 eV per atom
- Formation energy from the elements: -0.066 eV/atom

=====

[3]
Entry from Alexandria via LeMat-Bulk: a geometry-optimized LiDyErRu structure (PBE-GGA).

```
LiDyErRu
1.0
0.000 3.455 3.455
3.455 0.000 3.455
3.455 3.455 0.000
Li Dy Er Ru
1 1 1 1
Cartesian
0.000 0.000 0.000 Li
1.727 1.727 1.727 Dy
5.182 5.182 5.182 Er
3.455 3.455 3.455 Ru
```

Summary:
- Calculated volume: 82 Å³ per cell
- Total energy: -5.3875 eV per atom
- Formation energy from the elements: -0.299 eV/atom

=====

[4]
Entry from Alexandria via LeMat-Bulk: a geometry-optimized Mg2Ti2Pd3 structure (PBE-GGA).

```
Mg2Ti2Pd3
1.0
1.471 -13.265 0.000
1.471 13.265 0.000
0.000 0.000 2.937
Mg Ti Pd
2 2 3
Cartesian
1.471 11.460 0.000 Mg
1.471 -11.460 0.000 Mg
1.471 7.785 0.000 Ti
1.471 -7.785 0.000 Ti
1.471 3.671 1.468 Pd
1.471 0.000 1.468 Pd
1.471 -3.671 1.468 Pd
```

Summary:
- Calculated volume: 115 Å³ per cell
- Total energy: -5.4133 eV per atom
- Formation energy from the elements: -0.476 eV/atom

=====

[5]
Entry from Alexandria via LeMat-Bulk: a geometry-optimized Li3YP structure (PBE-GGA).

```
Li3YP
1.0
5.278 0.000 0.000
0.000 5.278 0.000
0.000 0.000 5.278
Li Y P
3 1 1
Cartesian
0.000 0.000 2.639 Li
0.000 2.639 0.000 Li
2.639 0.000 0.000 Li
0.000 0.000 0.000 Y
2.639 2.639 2.639 P
```

Summary:
- Calculated volume: 147 Å³ per cell
- Total energy: -2.2033 eV per atom
- Formation energy from the elements: 1.320 eV/atom
- Energy relative to the lowest polymorph listed for this composition: 1.457 eV/atom

=====

[6]
Entry from Alexandria via LeMat-Bulk: a geometry-optimized Y3Ag2Os structure (PBE-GGA).

```
Y3Ag2Os
1.0
5.016 0.000 0.000
0.000 7.278 0.000
-2.481 0.000 7.468
Y Ag Os
6 4 2
Cartesian
0.000 1.698 0.000 Y
0.000 5.580 0.000 Y
0.016 1.667 4.891 Y
0.016 5.611 4.891 Y
2.519 1.667 2.577 Y
2.519 5.611 2.577 Y
0.011 3.639 2.465 Ag
2.508 0.000 0.000 Ag
2.508 3.639 0.000 Ag
2.524 3.639 5.003 Ag
0.011 0.000 2.458 Os
2.524 0.000 5.011 Os
```

Summary:
- Calculated volume: 273 Å³ per cell
- Total energy: -6.3529 eV per atom
- Formation energy from the elements: -0.299 eV/atom

=====

Q: What is the formula in the fourth record?
A: Mg2Ti2Pd3